No. 1
This record from Alexandria via LeMat-Bulk describes SbF5 after structural relaxation. The functional is PBE.

Calculated values
Symmetry   Cmcm, No. 63
Density of states at the Fermi level   0.0 states/eV/cell
Crystal system   orthorhombic
Uncorrected energy   -4.207 eV/atom

abc: 5.975 5.975 8.489
angles: 90.00 90.00 144.45
Positions (direct):
Sb 0.500 0.500 0.500
F 0.346 0.654 0.919
F 0.076 0.924 0.915
F 0.924 0.076 0.085
Sb 0.500 0.500 0.000
F 0.472 0.528 0.250
F 0.528 0.472 0.750
F 0.654 0.346 0.081
F 0.076 0.924 0.585
F 0.654 0.346 0.419
F 0.346 0.654 0.581
F 0.924 0.076 0.415

=====

No. 2
This record from Alexandria via LeMat-Bulk describes SbF3 after structural relaxation. The functional is PBE.

Calculated values
Symmetry   C2, No. 5
Energy above the lowest structure with this stoichiometry   39 meV/atom
Density of states at the Fermi level   0.0 states/eV/cell
Crystal system   monoclinic

abc: 4.540 7.478 7.479
angles: 121.40 130.06 49.96
Positions (direct):
F 0.067 0.095 0.907
F 0.388 0.820 0.540
Sb 0.885 0.771 0.232
Sb 0.115 0.232 0.771
F 0.933 0.907 0.095
F 0.617 0.177 0.460
F 0.382 0.460 0.177
F 0.613 0.540 0.820

=====

No. 3
This record from Alexandria via LeMat-Bulk describes SbF3 after structural relaxation. The functional is PBE.

Calculated values
Symmetry   I-42d, No. 122
Energy above the lowest structure with this stoichiometry   603 meV/atom
Density of states at the Fermi level   0.0 states/eV/cell
Crystal system   tetragonal

abc: 3.811 3.811 7.996
angles: 76.21 76.21 90.00
Positions (direct):
Sb 0.750 0.250 0.500
Sb 0.000 0.000 0.000
F 0.375 0.313 0.750
F 0.875 0.937 0.750
F 0.687 0.125 0.250
F 0.063 0.625 0.250
F 0.500 0.500 0.000
F 0.250 0.750 0.500

=====

Look up the density of states at the Fermi level of the first one.
0.0 states/eV/cell